# PrHoSn GGA-PBE optimized geometry
# Energy relative to the elements = -0.219 eV/atom
# Offset from the most stable computed form = 397.7 meV/atom
data_PrHoSn
_space_group_name_H-M_alt 'P 1'
_space_group_IT_number 1
_space_group_name_Hall 'P 1'
_cell_length_a 4.645
_cell_length_b 4.645
_cell_length_c 11.155
_cell_angle_alpha 90.00
_cell_angle_beta 90.00
_cell_angle_gamma 120.00
loop_
_atom_site_label
_atom_site_type_symbol
_atom_site_fract_x
_atom_site_fract_y
_atom_site_fract_z
_atom_site_occupancy
Pr1 Pr 0.000 0.000 0.211 1
Pr2 Pr 0.000 0.000 0.789 1
Ho1 Ho 0.333 0.667 0.000 1
Ho2 Ho 0.667 0.333 0.500 1
Sn1 Sn 0.333 0.667 0.350 1
Sn2 Sn 0.333 0.667 0.650 1